[1]
Below is a geometry-optimized Ba2LaHg structure, with properties calculated at the PBE level.

a = 9.8427 Å, b = 9.8427 Å, c = 7.8356 Å
α = 51.09°, β = 51.09°, γ = 90.00°
Atoms (fractional coordinates):
Ba 0.0794 0.6250 0.2500
Ba 0.8750 0.9206 0.7500
Ba 0.3750 0.3294 0.7500
Ba 0.6706 0.1250 0.2500
La 0.2500 0.7500 0.5000
La 0.5000 0.5000 0.0000
Hg 0.7500 0.2500 0.5000
Hg 0.0000 0.0000 0.0000

Output
Electronic total energy (Ha/atom): -0.082
Theoretical density (kg/m³): 5849
ΔE_f (eV/atom): 0.0379

[2]
Below is a geometry-optimized CsAs2H2 structure, with properties calculated at the PBE level.

a = 8.6578 Å, b = 8.6578 Å, c = 3.2691 Å
α = 90.00°, β = 90.00°, γ = 90.00°
Atoms (fractional coordinates):
Cs 0.0000 0.0000 0.0000
Cs 0.5000 0.5000 0.0000
As 0.9025 0.5975 0.0000
As 0.5975 0.0975 0.0000
As 0.4025 0.9025 0.0000
As 0.0975 0.4025 0.0000
H 0.0808 0.5808 0.5000
H 0.5808 0.9192 0.5000
H 0.4192 0.0808 0.5000
H 0.9192 0.4192 0.5000

Output
Electronic total energy (Ha/atom): -0.103
Theoretical density (kg/m³): 3859
Offset from the most stable computed form (meV/atom): 765

[3]
Below is a geometry-optimized PmSmIr structure, with properties calculated at the PBE level.

a = 4.9122 Å, b = 4.9122 Å, c = 4.9122 Å
α = 60.00°, β = 60.00°, γ = 60.00°
Atoms (fractional coordinates):
Pm 0.0000 0.0000 0.0000
Sm 0.5000 0.5000 0.5000
Ir 0.2500 0.2500 0.2500

Output
Electronic total energy (Ha/atom): -0.246
Theoretical density (kg/m³): 9660
ΔE_f (eV/atom): -0.5713
Offset from the most stable computed form (meV/atom): 0

[4]
Below is a geometry-optimized KHf2Mg2O7 structure, with properties calculated at the PBE level.

a = 4.1540 Å, b = 4.1540 Å, c = 9.4161 Å
α = 102.74°, β = 102.74°, γ = 90.00°
Atoms (fractional coordinates):
O 0.6262 0.1262 0.2524
O 0.3738 0.8738 0.7476
O 0.7343 0.7342 0.4686
O 0.1262 0.6262 0.2524
O 0.5000 0.5000 0.0000
O 0.2657 0.2657 0.5314
O 0.8738 0.3738 0.7476
Hf 0.6137 0.6137 0.2275
Hf 0.3863 0.3863 0.7725
K 0.0000 0.0000 0.0000
Mg 0.2500 0.7500 0.5000
Mg 0.7500 0.2499 0.5000

Output
Electronic total energy (Ha/atom): -0.284
Theoretical density (kg/m³): 5988
Formation energy without anion corrections (eV per atom): -2.828

[5]
Below is a geometry-optimized BiRu2I structure, with properties calculated at the PBE level.

a = 4.8078 Å, b = 4.8078 Å, c = 4.8078 Å
α = 60.00°, β = 60.00°, γ = 60.00°
Atoms (fractional coordinates):
Ru 0.2500 0.2500 0.2500
Ru 0.7500 0.7500 0.7500
I 0.0000 0.0000 0.0000
Bi 0.5000 0.5000 0.5000

Output
Electronic total energy (Ha/atom): -0.191
Theoretical density (kg/m³): 11369
Formation energy without anion corrections (eV per atom): 0.809
Offset from the most stable computed form (meV/atom): 0

[6]
Below is a geometry-optimized Cs6Pr3Br14 structure, with properties calculated at the PBE level.

a = 6.0770 Å, b = 14.5008 Å, c = 14.5008 Å
α = 120.00°, β = 90.00°, γ = 90.00°
Atoms (fractional coordinates):
Cs 0.3246 0.3108 0.1981
Cs 0.8360 0.4461 0.9775
Cs 0.8360 0.5314 0.5539
Cs 0.3246 0.8873 0.6892
Cs 0.3246 0.8019 0.1127
Cs 0.8360 0.0225 0.4686
Br 0.3313 0.5320 0.8608
Br 0.3278 0.0000 0.0000
Br 0.8248 0.8074 0.5286
Br 0.8283 0.8018 0.8054
Br 0.3313 0.1392 0.6711
Br 0.3313 0.3289 0.4680
Br 0.3361 0.6121 0.4742
Br 0.8283 0.0036 0.1982
Br 0.8248 0.4714 0.2788
Br 0.8248 0.7212 0.1926
Br 0.8320 0.3333 0.6667
Br 0.3361 0.8621 0.3879
Br 0.3361 0.5258 0.1379
Br 0.8283 0.1946 0.9964
Pr 0.5801 0.6667 0.3333
Pr 0.8276 0.0000 0.0000
Pr 0.3322 0.3333 0.6667

Output
Electronic total energy (Ha/atom): -0.134
Theoretical density (kg/m³): 3509
Formation energy without anion corrections (eV per atom): -1.770

[7]
Below is a geometry-optimized Ta4CrSi structure, with properties calculated at the PBE level.

a = 5.3830 Å, b = 5.3830 Å, c = 5.3830 Å
α = 60.00°, β = 60.00°, γ = 60.00°
Atoms (fractional coordinates):
Ta 0.3749 0.3749 0.8752
Ta 0.3749 0.8752 0.3749
Ta 0.3749 0.3749 0.3749
Ta 0.8752 0.3749 0.3749
Si 0.0000 0.0000 0.0000
Cr 0.7500 0.7500 0.7500

Output
Electronic total energy (Ha/atom): -0.358
Theoretical density (kg/m³): 12102
Formation energy without anion corrections (eV per atom): 0.663

[8]
Below is a geometry-optimized MgZnCo2 structure, with properties calculated at the PBE level.

a = 3.9229 Å, b = 2.6138 Å, c = 5.4548 Å
α = 71.05°, β = 90.00°, γ = 90.00°
Atoms (fractional coordinates):
Mg 0.5000 0.2500 0.2500
Zn 0.5000 0.7500 0.7500
Co 0.0000 0.0011 0.9857
Co 0.0000 0.4989 0.5143

Output
Electronic total energy (Ha/atom): -0.152
Theoretical density (kg/m³): 6516
ΔE_f (eV/atom): 0.1284

[9]
Below is a geometry-optimized TbYEr structure, with properties calculated at the PBE level.

a = 3.5416 Å, b = 3.5416 Å, c = 7.9500 Å
α = 102.87°, β = 102.87°, γ = 90.00°
Atoms (fractional coordinates):
Y 0.0006 0.0006 0.0011
Er 0.6673 0.6673 0.3347
Tb 0.3321 0.3321 0.6642

Output
Electronic total energy (Ha/atom): -0.191
Theoretical density (kg/m³): 7283
ΔE_f (eV/atom): 0.0227
Offset from the most stable computed form (meV/atom): 1

[10]
Below is a geometry-optimized HfZnIrAu structure, with properties calculated at the PBE level.

a = 4.5734 Å, b = 4.5734 Å, c = 4.5734 Å
α = 60.00°, β = 60.00°, γ = 60.00°
Atoms (fractional coordinates):
Ir 0.7500 0.7500 0.7500
Hf 0.5000 0.5000 0.5000
Zn 0.0000 0.0000 0.0000
Au 0.2500 0.2500 0.2500

Output
Electronic total energy (Ha/atom): -0.232
Theoretical density (kg/m³): 15542
ΔE_f (eV/atom): -0.4778
Offset from the most stable computed form (meV/atom): 37

[11]
Below is a geometry-optimized TaCoAs2Br structure, with properties calculated at the PBE level.

a = 4.5255 Å, b = 4.5255 Å, c = 4.7087 Å
α = 90.00°, β = 90.00°, γ = 90.00°
Atoms (fractional coordinates):
As 0.5000 0.0000 0.0000
As 0.0000 0.5000 0.0000
Co 0.0000 0.0000 0.0000
Ta 0.5000 0.5000 0.5000
Br 0.0000 0.0000 0.5000

Output
Electronic total energy (Ha/atom): -0.188
Theoretical density (kg/m³): 8087
Formation energy without anion corrections (eV per atom): 0.871
Offset from the most stable computed form (meV/atom): 52

[12]
Below is a geometry-optimized LiTbIr4 structure, with properties calculated at the PBE level.

a = 5.2737 Å, b = 5.2737 Å, c = 5.2737 Å
α = 60.00°, β = 60.00°, γ = 60.00°
Atoms (fractional coordinates):
Li 0.0000 0.0000 0.0000
Tb 0.2500 0.2500 0.2500
Ir 0.6254 0.6254 0.1238
Ir 0.1238 0.6254 0.6254
Ir 0.6254 0.1238 0.6254
Ir 0.6254 0.6254 0.6254

Output
Electronic total energy (Ha/atom): -0.274
Theoretical density (kg/m³): 14966
ΔE_f (eV/atom): -0.4538